First-principles (PBE-GGA) data for a relaxed Mg2ZnH6Os crystal, as listed in the Alexandria database.

a b c (Å): 15.4336 15.4336 15.4336
angles (deg): 17.19 17.19 17.19
Last column: nearest neighbours and their distance in Å.
Element x y z (fractional)
Mg1 0.1524 0.1524 0.1524  9 H 2.23-2.35
Mg2 0.3188 0.3188 0.3188  9 H 2.26-2.35
Mg3 0.6812 0.6812 0.6812  9 H 2.26-2.35
Mg4 0.8476 0.8476 0.8476  9 H 2.23-2.35
Zn1 0.4111 0.4111 0.4111  3 H 2.79
Zn2 0.5889 0.5889 0.5889  3 H 2.79
H1 0.1515 0.6377 0.6377  1 Os 1.71
H2 0.1859 0.1859 0.7022  1 Os 1.71
H3 0.1859 0.7022 0.1859  1 Os 1.71
H4 0.2978 0.8141 0.8141  1 Os 1.71
H5 0.3623 0.3623 0.8485  1 Os 1.71
H6 0.3623 0.8485 0.3623  1 Os 1.71
H7 0.6377 0.1515 0.6377  1 Os 1.71
H8 0.6377 0.6377 0.1515  1 Os 1.71
H9 0.7022 0.1859 0.1859  1 Os 1.71
H10 0.8141 0.2978 0.8141  1 Os 1.71
H11 0.8141 0.8141 0.2978  1 Os 1.71
H12 0.8485 0.3623 0.3623  1 Os 1.71
Os1 0.0000 0.0000 0.0000  6 H 1.71
Os2 0.5000 0.5000 0.5000  6 H 1.71

Computed properties:
SG: No. 166
N(E_F): 0.00 states/eV per atom
Total moment: 0.0 μB/f.u.
Total energy: -3.695 eV per atom


First-principles (PBE-GGA) data for a relaxed Tb2Pr6SmEr crystal, as listed in the Alexandria database.

a b c (Å): 9.0237 9.0237 9.7553
angles (deg): 93.92 93.92 117.70
Last column: nearest neighbours and their distance in Å.
Element x y z (fractional)
Tb1 0.2009 0.2981 0.0461  5 Pr 3.32-3.54, 2 Sm 3.45-3.48, 1 Er 3.56
Tb2 0.2981 0.2009 0.5461  5 Pr 3.32-3.54, 2 Sm 3.45-3.48, 1 Er 3.56
Tb3 0.7019 0.7991 0.4539  5 Pr 3.32-3.54, 2 Sm 3.45-3.48, 1 Er 3.56
Tb4 0.7991 0.7019 0.9539  5 Pr 3.32-3.54, 2 Sm 3.45-3.48, 1 Er 3.56
Pr1 0.0073 0.5648 0.1889  3 Pr 3.34-3.72, 1 Er 3.48, 1 Tb 3.50, 1 Sm 3.62
Pr2 0.1165 0.7599 0.5539  7 Pr 3.49-3.85, 1 Tb 3.54, 2 Sm 3.69-3.89
Pr3 0.2401 0.8835 0.9461  7 Pr 3.49-3.85, 1 Tb 3.54, 2 Sm 3.69-3.89
Pr4 0.2935 0.5096 0.3822  3 Tb 3.32-3.52, 4 Pr 3.34-3.70, 2 Er 3.47-3.60
Pr5 0.4352 0.9927 0.3111  3 Pr 3.34-3.72, 1 Er 3.48, 1 Tb 3.50, 1 Sm 3.62
Pr6 0.4904 0.7065 0.1178  3 Tb 3.32-3.52, 4 Pr 3.34-3.70, 2 Er 3.47-3.60
Pr7 0.5096 0.2935 0.8822  3 Tb 3.32-3.52, 4 Pr 3.34-3.70, 2 Er 3.47-3.60
Pr8 0.5648 0.0073 0.6889  3 Pr 3.34-3.72, 1 Er 3.48, 1 Tb 3.50, 1 Sm 3.62
Pr9 0.7065 0.4904 0.6178  3 Tb 3.32-3.52, 4 Pr 3.34-3.70, 2 Er 3.47-3.60
Pr10 0.7599 0.1165 0.0539  7 Pr 3.49-3.85, 1 Tb 3.54, 2 Sm 3.69-3.89
Pr11 0.8835 0.2401 0.4461  7 Pr 3.49-3.85, 1 Tb 3.54, 2 Sm 3.69-3.89
Pr12 0.9927 0.4352 0.8111  3 Pr 3.34-3.72, 1 Er 3.48, 1 Tb 3.50, 1 Sm 3.62
Sm1 0.0259 0.9741 0.2500  4 Tb 3.45-3.48, 4 Pr 3.62-3.69
Sm2 0.9741 0.0259 0.7500  4 Tb 3.45-3.48, 4 Pr 3.62-3.69
Er1 0.4116 0.5884 0.7500  6 Pr 3.47-3.60, 2 Tb 3.56
Er2 0.5884 0.4116 0.2500  6 Pr 3.47-3.60, 2 Tb 3.56

Computed properties:
SG: No. 15
N(E_F): 1.45 states/eV per atom
Total moment: 0.0 μB/f.u.
Total energy: -4.608 eV per atom


First-principles (PBE-GGA) data for a relaxed MgSb2O crystal, as listed in the Alexandria database.

a b c (Å): 9.3642 9.3642 7.0683
angles (deg): 90.00 90.00 120.00
Last column: nearest neighbours and their distance in Å.
Element x y z (fractional)
Mg1 0.0000 0.3245 0.4575  1 O 1.96
Mg2 0.0000 0.6755 0.5425  1 O 1.96
Mg3 0.3245 0.0000 0.4575  1 O 1.96
Mg4 0.3245 0.3245 0.5425  1 O 1.96
Mg5 0.6755 0.0000 0.5425  1 O 1.96
Mg6 0.6755 0.6755 0.4575  1 O 1.96
Sb1 0.0000 0.0000 0.0000  6 O 2.95, 6 Sb 3.28
Sb2 0.0000 0.0000 0.5000  6 O 2.01
Sb3 0.0000 0.3472 0.0585  1 Mg 2.83, 3 Sb 2.98-3.09
Sb4 0.0000 0.6528 0.9415  1 Mg 2.83, 3 Sb 2.98-3.09
Sb5 0.3333 0.6667 0.0000  6 Sb 3.09
Sb6 0.3333 0.6667 0.5000  6 Mg 3.18, 2 Sb 3.53
Sb7 0.3472 0.0000 0.0585  1 Mg 2.83, 3 Sb 2.98-3.09
Sb8 0.3472 0.3472 0.9415  1 Mg 2.83, 3 Sb 2.98-3.09
Sb9 0.6528 0.0000 0.9415  1 Mg 2.83, 3 Sb 2.98-3.09
Sb10 0.6528 0.6528 0.0585  1 Mg 2.83, 3 Sb 2.98-3.09
Sb11 0.6667 0.3333 0.0000  6 Sb 3.09
Sb12 0.6667 0.3333 0.5000  6 Mg 3.18, 2 Sb 3.53
O1 0.0000 0.1794 0.6572  1 Mg 1.96, 1 Sb 2.01
O2 0.0000 0.8206 0.3428  1 Mg 1.96, 1 Sb 2.01
O3 0.1794 0.0000 0.6572  1 Mg 1.96, 1 Sb 2.01
O4 0.1794 0.1794 0.3428  1 Mg 1.96, 1 Sb 2.01
O5 0.8206 0.0000 0.3428  1 Mg 1.96, 1 Sb 2.01
O6 0.8206 0.8206 0.6572  1 Mg 1.96, 1 Sb 2.01

Computed properties:
SG: No. 162
N(E_F): 0.30 states/eV per atom
Formation energy without anion corrections: -12.54 kcal/mol of atoms
Total moment: 0.0 μB/f.u.
Total energy: -4.243 eV per atom
Relative energy among the computed polymorphs: 55 meV/atom


First-principles (PBE-GGA) data for a relaxed PaCo2Ge2 crystal, as listed in the Alexandria database.

a b c (Å): 4.0417 4.0417 9.5970
angles (deg): 90.00 90.00 90.00
Last column: nearest neighbours and their distance in Å.
Element x y z (fractional)
Pa1 0.2500 0.2500 0.2451  8 Ge 3.06-3.17, 8 Co 3.10
Pa2 0.7500 0.7500 0.7549  8 Ge 3.06-3.17, 8 Co 3.10
Co1 0.2500 0.2500 0.6287  5 Ge 2.30-2.37
Co2 0.2500 0.7500 0.0000  4 Ge 2.38
Co3 0.7500 0.2500 0.0000  4 Ge 2.38
Co4 0.7500 0.7500 0.3713  5 Ge 2.30-2.37
Ge1 0.2500 0.2500 0.8689  5 Co 2.30-2.38
Ge2 0.2500 0.7500 0.5000  4 Co 2.37
Ge3 0.7500 0.2500 0.5000  4 Co 2.37
Ge4 0.7500 0.7500 0.1311  5 Co 2.30-2.38

Computed properties:
SG: No. 129
N(E_F): 0.75 states/eV per atom
Total moment: 0.2 μB/f.u.
Total energy: -7.142 eV per atom


First-principles (PBE-GGA) data for a relaxed Er2ThGe crystal, as listed in the Alexandria database.

a b c (Å): 10.1335 10.1335 10.1335
angles (deg): 20.39 20.39 20.39
Last column: nearest neighbours and their distance in Å.
Element x y z (fractional)
Er1 0.2369 0.2369 0.2369  3 Ge 2.94
Er2 0.7631 0.7631 0.7631  3 Ge 2.94
Th1 0.0000 0.0000 0.0000  6 Er 3.54, 6 Th 3.59
Ge1 0.5000 0.5000 0.5000  6 Er 2.94

Computed properties:
SG: No. 166
N(E_F): 1.07 states/eV per atom
Total moment: 0.0 μB/f.u.
Total energy: -5.515 eV per atom


First-principles (PBE-GGA) data for a relaxed RbLiHfBr2 crystal, as listed in the Alexandria database.

a b c (Å): 6.1017 6.1017 5.8030
angles (deg): 90.00 90.00 90.00
Last column: nearest neighbours and their distance in Å.
Element x y z (fractional)
Rb1 0.0000 0.0000 0.0000  2 Li 2.90, 4 Br 3.05
Li1 0.0000 0.0000 0.5000  2 Rb 2.90
Hf1 0.5000 0.5000 0.5000  8 Br 4.21, 4 Li 4.31
Br1 0.0000 0.5000 0.0000  2 Rb 3.05
Br2 0.5000 0.0000 0.0000  2 Rb 3.05

Computed properties:
SG: No. 123
N(E_F): 0.70 states/eV per atom
Formation energy without anion corrections: 12.05 kcal/mol of atoms
Total moment: 2.0 μB/f.u.
Total energy: -2.713 eV per atom


First-principles (PBE-GGA) data for a relaxed ScMoW2 crystal, as listed in the Alexandria database.

a b c (Å): 4.8498 4.8498 5.4393
angles (deg): 90.56 90.56 32.44
Last column: nearest neighbours and their distance in Å.
Element x y z (fractional)
Sc1 0.0000 0.0000 0.0000  1 Mo 2.66, 2 Sc 2.71, 1 W 2.72
Mo1 0.7521 0.7521 0.7533  1 Sc 2.66, 1 W 2.67, 2 Mo 2.71
W1 0.2533 0.2533 0.2546  3 W 2.68-2.71, 1 Sc 2.72
W2 0.5045 0.5045 0.5000  1 Mo 2.67, 3 W 2.68-2.71

Computed properties:
SG: No. 8
N(E_F): 0.85 states/eV per atom
Total moment: 0.0 μB/f.u.
Total energy: -10.429 eV per atom
Relative energy among the computed polymorphs: 249 meV/atom


First-principles (PBE-GGA) data for a relaxed Ca2AgPt2 crystal, as listed in the Alexandria database.

a b c (Å): 5.6946 5.6946 8.3010
angles (deg): 104.04 104.04 58.20
Last column: nearest neighbours and their distance in Å.
Element x y z (fractional)
Ca1 0.0019 0.2992 0.1514  6 Pt 2.97-3.22, 1 Ag 3.22
Ca2 0.2992 0.0019 0.6514  6 Pt 2.97-3.22, 1 Ag 3.22
Ca3 0.7008 0.9981 0.3486  6 Pt 2.97-3.22, 1 Ag 3.22
Ca4 0.9981 0.7008 0.8486  6 Pt 2.97-3.22, 1 Ag 3.22
Ag1 0.3218 0.6782 0.2500  4 Pt 2.74-2.78
Ag2 0.6782 0.3218 0.7500  4 Pt 2.74-2.78
Pt1 0.2270 0.5063 0.4965  1 Pt 2.64, 2 Ag 2.74-2.78
Pt2 0.4937 0.7730 0.0035  1 Pt 2.64, 2 Ag 2.74-2.78
Pt3 0.5063 0.2270 0.9965  1 Pt 2.64, 2 Ag 2.74-2.78
Pt4 0.7730 0.4937 0.5035  1 Pt 2.64, 2 Ag 2.74-2.78

Computed properties:
SG: No. 15
N(E_F): 0.38 states/eV per atom
Total moment: 0.0 μB/f.u.
Total energy: -4.527 eV per atom
Relative energy among the computed polymorphs: 35 meV/atom